(1)
A plane-wave DFT calculation with PBE was carried out for a geometry-optimized MgAs2 structure.

formation enthalpy at 0 K = -0.061 eV/atom
Fermi-level density of states = 5.95 states/eV/cell
total magnetic moment = 0.00 μB/atom
E_tot = -3.6917 eV/atom
SG = No. 141

a b c (Å): 3.4794 3.4794 20.6121
angles (deg): 90.00 90.00 90.00
Last column: nearest neighbours and their distance in Å.
Fractional positions:
1 Mg 0.0000 0.2500 0.3750  8 As 2.96
2 Mg 0.0000 0.7500 0.6250  8 As 2.96
3 Mg 0.5000 0.2500 0.1250  8 As 2.96
4 Mg 0.5000 0.7500 0.8750  8 As 2.96
5 As 0.0000 0.2500 0.7952  2 As 2.55
6 As 0.0000 0.2500 0.9548  2 As 2.55
7 As 0.0000 0.7500 0.0452  2 As 2.55
8 As 0.0000 0.7500 0.2048  2 As 2.55
9 As 0.5000 0.2500 0.5452  2 As 2.55
10 As 0.5000 0.2500 0.7048  2 As 2.55
11 As 0.5000 0.7500 0.2952  2 As 2.55
12 As 0.5000 0.7500 0.4548  2 As 2.55



(2)
A plane-wave DFT calculation with PBE was carried out for a geometry-optimized MgAs2 structure.

formation enthalpy at 0 K = -0.183 eV/atom
Fermi-level density of states = 2.27 states/eV/cell
total magnetic moment = 0.00 μB/atom
E_tot = -3.8147 eV/atom
SG = No. 12

a b c (Å): 8.6735 3.5744 9.1848
angles (deg): 90.00 90.55 90.00
Last column: nearest neighbours and their distance in Å.
Fractional positions:
1 Mg 0.1967 0.0000 0.2270  4 As 2.67-2.95
2 Mg 0.3033 0.5000 0.7730  4 As 2.67-2.95
3 Mg 0.6967 0.5000 0.2270  4 As 2.67-2.95
4 Mg 0.8033 0.0000 0.7730  4 As 2.67-2.95
5 As 0.0136 0.5000 0.8679  1 As 2.44, 3 Mg 2.67-2.69
6 As 0.1622 0.0000 0.5464  2 As 2.50
7 As 0.3378 0.5000 0.4536  2 As 2.50
8 As 0.4864 0.0000 0.1321  1 As 2.44, 3 Mg 2.67-2.69
9 As 0.5136 0.0000 0.8679  1 As 2.44, 3 Mg 2.67-2.69
10 As 0.6622 0.5000 0.5464  2 As 2.50
11 As 0.8378 0.0000 0.4536  2 As 2.50
12 As 0.9864 0.5000 0.1321  1 As 2.44, 3 Mg 2.67-2.69



(3)
A plane-wave DFT calculation with PBE was carried out for a geometry-optimized MgAs2 structure.

formation enthalpy at 0 K = -0.011 eV/atom
Fermi-level density of states = 7.02 states/eV/cell
total magnetic moment = 0.00 μB/atom
E_tot = -3.6424 eV/atom
SG = No. 63

a b c (Å): 2.9517 15.4697 5.3115
angles (deg): 90.00 90.00 90.00
Last column: nearest neighbours and their distance in Å.
Fractional positions:
1 Mg 0.0000 0.1854 0.2500  6 As 2.68-2.86, 2 Mg 2.95
2 Mg 0.0000 0.8146 0.7500  6 As 2.68-2.86, 2 Mg 2.95
3 Mg 0.5000 0.3146 0.7500  6 As 2.68-2.86, 2 Mg 2.95
4 Mg 0.5000 0.6854 0.2500  6 As 2.68-2.86, 2 Mg 2.95
5 As 0.0000 0.1601 0.7500  4 Mg 2.68-2.81, 2 As 2.95
6 As 0.0000 0.4732 0.7500  4 As 2.78-2.95, 2 Mg 2.86
7 As 0.0000 0.5268 0.2500  4 As 2.78-2.95, 2 Mg 2.86
8 As 0.0000 0.8399 0.2500  4 Mg 2.68-2.81, 2 As 2.95
9 As 0.5000 0.0268 0.2500  4 As 2.78-2.95, 2 Mg 2.86
10 As 0.5000 0.3399 0.2500  4 Mg 2.68-2.81, 2 As 2.95
11 As 0.5000 0.6601 0.7500  4 Mg 2.68-2.81, 2 As 2.95
12 As 0.5000 0.9732 0.7500  4 As 2.78-2.95, 2 Mg 2.86



(4)
A plane-wave DFT calculation with PBE was carried out for a geometry-optimized MgAs3 structure.

formation enthalpy at 0 K = 0.035 eV/atom
Fermi-level density of states = 8.89 states/eV/cell
total magnetic moment = 0.00 μB/atom
E_tot = -3.8512 eV/atom
SG = No. 63

a b c (Å): 6.1803 12.4344 4.6383
angles (deg): 90.00 90.00 90.00
Last column: nearest neighbours and their distance in Å.
Fractional positions:
1 Mg 0.0000 0.0861 0.2500  6 As 2.83-2.99, 2 Mg 3.16
2 Mg 0.0000 0.9139 0.7500  6 As 2.83-2.99, 2 Mg 3.16
3 Mg 0.5000 0.4139 0.7500  6 As 2.83-2.99, 2 Mg 3.16
4 Mg 0.5000 0.5861 0.2500  6 As 2.83-2.99, 2 Mg 3.16
5 As 0.0000 0.2766 0.7500  2 As 2.52
6 As 0.0000 0.7234 0.2500  2 As 2.52
7 As 0.2449 0.3815 0.2500  1 As 2.52
8 As 0.2449 0.6185 0.7500  1 As 2.52
9 As 0.2551 0.1185 0.7500  1 As 2.52
10 As 0.2551 0.8815 0.2500  1 As 2.52
11 As 0.5000 0.2234 0.2500  2 As 2.52
12 As 0.5000 0.7766 0.7500  2 As 2.52
13 As 0.7449 0.1185 0.7500  1 As 2.52
14 As 0.7449 0.8815 0.2500  1 As 2.52
15 As 0.7551 0.3815 0.2500  1 As 2.52
16 As 0.7551 0.6185 0.7500  1 As 2.52



(5)
A plane-wave DFT calculation with PBE was carried out for a geometry-optimized MgAs2 structure.

formation enthalpy at 0 K = -0.149 eV/atom
Fermi-level density of states = 3.43 states/eV/cell
total magnetic moment = 0.00 μB/atom
E_tot = -3.7798 eV/atom
SG = No. 63

a b c (Å): 4.0627 16.7414 3.6609
angles (deg): 90.00 90.00 90.00
Last column: nearest neighbours and their distance in Å.
Fractional positions:
1 Mg 0.0000 0.1186 0.2500  8 As 2.87-2.99
2 Mg 0.0000 0.8814 0.7500  8 As 2.87-2.99
3 Mg 0.5000 0.3814 0.7500  8 As 2.87-2.99
4 Mg 0.5000 0.6186 0.2500  8 As 2.87-2.99
5 As 0.0000 0.2601 0.7500  4 As 2.76, 4 Mg 2.87-2.99
6 As 0.0000 0.4460 0.2500  2 As 2.57
7 As 0.0000 0.5540 0.7500  2 As 2.57
8 As 0.0000 0.7399 0.2500  4 As 2.76, 4 Mg 2.87-2.99
9 As 0.5000 0.0540 0.7500  2 As 2.57
10 As 0.5000 0.2399 0.2500  4 As 2.76, 4 Mg 2.87-2.99
11 As 0.5000 0.7601 0.7500  4 As 2.76, 4 Mg 2.87-2.99
12 As 0.5000 0.9460 0.2500  2 As 2.57



(6)
A plane-wave DFT calculation with PBE was carried out for a geometry-optimized MgAs8 structure.

formation enthalpy at 0 K = 0.233 eV/atom
Fermi-level density of states = 2.75 states/eV/cell
total magnetic moment = 0.00 μB/atom
E_tot = -4.0775 eV/atom
SG = No. 139

a b c (Å): 7.6062 7.6062 7.6062
angles (deg): 94.86 94.86 146.17
Last column: nearest neighbours and their distance in Å.
Fractional positions:
1 Mg 0.0000 0.0000 0.0000  8 As 2.84
2 As 0.0000 0.3822 0.3822  1 As 2.42
3 As 0.0000 0.6178 0.6178  1 As 2.42
4 As 0.3780 0.3780 0.7561  2 As 2.51
5 As 0.3780 0.6220 0.0000  2 As 2.51
6 As 0.3822 0.0000 0.3822  1 As 2.42
7 As 0.6178 0.0000 0.6178  1 As 2.42
8 As 0.6220 0.3780 0.0000  2 As 2.51
9 As 0.6220 0.6220 0.2439  2 As 2.51



(7)
A plane-wave DFT calculation with PBE was carried out for a geometry-optimized MgAs2 structure.

formation enthalpy at 0 K = -0.187 eV/atom
Fermi-level density of states = 3.11 states/eV/cell
total magnetic moment = 0.00 μB/atom
E_tot = -3.8179 eV/atom
SG = No. 8

a b c (Å): 10.4989 4.9399 5.5190
angles (deg): 90.00 121.50 90.00
Last column: nearest neighbours and their distance in Å.
Fractional positions:
1 Mg 0.0000 0.0000 0.0000  7 As 2.76-2.93
2 Mg 0.1489 0.5000 0.6460  7 As 2.76-2.93
3 Mg 0.5000 0.5000 0.0000  7 As 2.76-2.93
4 Mg 0.6489 0.0000 0.6460  7 As 2.76-2.93
5 As 0.1664 0.5000 0.1623  4 Mg 2.76-2.88, 4 As 2.79-3.07
6 As 0.3238 0.0000 0.8068  1 As 2.51
7 As 0.3245 0.0000 0.3528  1 As 2.51
8 As 0.4786 0.5000 0.4776  4 Mg 2.76-2.90, 4 As 2.79-3.09
9 As 0.6664 0.0000 0.1623  4 Mg 2.76-2.88, 4 As 2.79-3.07
10 As 0.8238 0.5000 0.8068  1 As 2.51
11 As 0.8245 0.5000 0.3528  1 As 2.51
12 As 0.9786 0.0000 0.4776  4 Mg 2.76-2.90, 4 As 2.79-3.09



(8)
A plane-wave DFT calculation with PBE was carried out for a geometry-optimized MgAs2 structure.

formation enthalpy at 0 K = -0.212 eV/atom
Fermi-level density of states = 1.74 states/eV/cell
total magnetic moment = 0.00 μB/atom
E_tot = -3.8436 eV/atom
SG = No. 12

a b c (Å): 8.3470 3.7628 4.2880
angles (deg): 90.00 95.64 90.00
Last column: nearest neighbours and their distance in Å.
Fractional positions:
1 Mg 0.0000 0.0000 0.0000  6 As 2.71-2.89
2 Mg 0.5000 0.5000 0.0000  6 As 2.71-2.89
3 As 0.2289 0.5000 0.3017  2 As 2.54, 1 Mg 2.71
4 As 0.2711 0.0000 0.6983  2 As 2.54, 1 Mg 2.71
5 As 0.7289 0.0000 0.3017  2 As 2.54, 1 Mg 2.71
6 As 0.7711 0.5000 0.6983  2 As 2.54, 1 Mg 2.71



(9)
A plane-wave DFT calculation with PBE was carried out for a geometry-optimized MgAs3 structure.

formation enthalpy at 0 K = 0.024 eV/atom
Fermi-level density of states = 6.34 states/eV/cell
total magnetic moment = 0.00 μB/atom
E_tot = -3.8620 eV/atom
SG = No. 139

a b c (Å): 3.9254 3.9254 21.5625
angles (deg): 90.00 90.00 90.00
Last column: nearest neighbours and their distance in Å.
Fractional positions:
1 Mg 0.0000 0.0000 0.1506  8 As 2.91-3.02
2 Mg 0.0000 0.0000 0.8494  8 As 2.91-3.02
3 Mg 0.5000 0.5000 0.3494  8 As 2.91-3.02
4 Mg 0.5000 0.5000 0.6506  8 As 2.91-3.02
5 As 0.0000 0.0000 0.4045  4 As 2.85, 4 Mg 3.02
6 As 0.0000 0.0000 0.5955  4 As 2.85, 4 Mg 3.02
7 As 0.0000 0.5000 0.0000  8 As 2.78-2.85
8 As 0.0000 0.5000 0.2500  4 As 2.78, 4 Mg 2.91
9 As 0.0000 0.5000 0.5000  8 As 2.78-2.85
10 As 0.0000 0.5000 0.7500  4 As 2.78, 4 Mg 2.91
11 As 0.5000 0.0000 0.0000  8 As 2.78-2.85
12 As 0.5000 0.0000 0.2500  4 As 2.78, 4 Mg 2.91
13 As 0.5000 0.0000 0.5000  8 As 2.78-2.85
14 As 0.5000 0.0000 0.7500  4 As 2.78, 4 Mg 2.91
15 As 0.5000 0.5000 0.0955  4 As 2.85, 4 Mg 3.02
16 As 0.5000 0.5000 0.9045  4 As 2.85, 4 Mg 3.02



(10)
A plane-wave DFT calculation with PBE was carried out for a geometry-optimized MgAs3 structure.

formation enthalpy at 0 K = -0.027 eV/atom
Fermi-level density of states = 7.40 states/eV/cell
total magnetic moment = 0.00 μB/atom
E_tot = -3.9124 eV/atom
SG = No. 62

a b c (Å): 6.6525 6.7103 7.8258
angles (deg): 90.00 90.00 90.00
Last column: nearest neighbours and their distance in Å.
Fractional positions:
1 Mg 0.0940 0.2500 0.1028  6 As 2.79-2.88
2 Mg 0.4060 0.7500 0.6028  6 As 2.79-2.88
3 Mg 0.5940 0.2500 0.3972  6 As 2.79-2.88
4 Mg 0.9060 0.7500 0.8972  6 As 2.79-2.88
5 As 0.0797 0.2500 0.6150  4 As 2.57-2.74
6 As 0.2253 0.0246 0.3804  2 As 2.57-2.74, 2 Mg 2.79-2.80
7 As 0.2253 0.4754 0.3804  2 As 2.57-2.74, 2 Mg 2.79-2.80
8 As 0.2747 0.5246 0.8804  2 As 2.57-2.74, 2 Mg 2.79-2.80
9 As 0.2747 0.9754 0.8804  2 As 2.57-2.74, 2 Mg 2.79-2.80
10 As 0.4203 0.7500 0.1150  4 As 2.57-2.74
11 As 0.5797 0.2500 0.8850  4 As 2.57-2.74
12 As 0.7253 0.0246 0.1196  2 As 2.57-2.74, 2 Mg 2.79-2.80
13 As 0.7253 0.4754 0.1196  2 As 2.57-2.74, 2 Mg 2.79-2.80
14 As 0.7747 0.5246 0.6196  2 As 2.57-2.74, 2 Mg 2.79-2.80
15 As 0.7747 0.9754 0.6196  2 As 2.57-2.74, 2 Mg 2.79-2.80
16 As 0.9203 0.7500 0.3850  4 As 2.57-2.74



(11)
A plane-wave DFT calculation with PBE was carried out for a geometry-optimized Mg3As2 structure.

formation enthalpy at 0 K = -0.633 eV/atom
energy above the most stable polymorph in this dataset = 0 meV/atom
total magnetic moment = 0.00 μB/atom
E_tot = -3.4500 eV/atom
SG = No. 206

a b c (Å): 10.8041 10.8041 10.8041
angles (deg): 109.47 109.47 109.47
Last column: nearest neighbours and their distance in Å.
Fractional positions:
1 Mg 0.0068 0.0308 0.2658  4 As 2.63-2.74
2 Mg 0.0240 0.4932 0.7590  4 As 2.63-2.74
3 Mg 0.0308 0.2658 0.0068  4 As 2.63-2.74
4 Mg 0.2342 0.2651 0.7410  4 As 2.63-2.74
5 Mg 0.2349 0.4692 0.4760  4 As 2.63-2.74
6 Mg 0.2410 0.9760 0.5068  4 As 2.63-2.74
7 Mg 0.2590 0.7658 0.7349  4 As 2.63-2.74
8 Mg 0.2651 0.7410 0.2342  4 As 2.63-2.74
9 Mg 0.2658 0.0068 0.0308  4 As 2.63-2.74
10 Mg 0.4692 0.4760 0.2349  4 As 2.63-2.74
11 Mg 0.4760 0.2349 0.4692  4 As 2.63-2.74
12 Mg 0.4932 0.7590 0.0240  4 As 2.63-2.74
13 Mg 0.5068 0.2410 0.9760  4 As 2.63-2.74
14 Mg 0.5240 0.7651 0.5308  4 As 2.63-2.74
15 Mg 0.5308 0.5240 0.7651  4 As 2.63-2.74
16 Mg 0.7342 0.9932 0.9692  4 As 2.63-2.74
17 Mg 0.7349 0.2590 0.7658  4 As 2.63-2.74
18 Mg 0.7410 0.2342 0.2651  4 As 2.63-2.74
19 Mg 0.7590 0.0240 0.4932  4 As 2.63-2.74
20 Mg 0.7651 0.5308 0.5240  4 As 2.63-2.74
21 Mg 0.7658 0.7349 0.2590  4 As 2.63-2.74
22 Mg 0.9692 0.7342 0.9932  4 As 2.63-2.74
23 Mg 0.9760 0.5068 0.2410  4 As 2.63-2.74
24 Mg 0.9932 0.9692 0.7342  4 As 2.63-2.74
25 As 0.0000 0.0000 0.5000  6 Mg 2.68
26 As 0.0000 0.5000 0.0000  6 Mg 2.68
27 As 0.0220 0.7500 0.7720  6 Mg 2.63-2.74
28 As 0.2280 0.9780 0.2500  6 Mg 2.63-2.74
29 As 0.2500 0.2280 0.9780  6 Mg 2.63-2.74
30 As 0.2500 0.7280 0.4780  6 Mg 2.63-2.74
31 As 0.2720 0.5220 0.7500  6 Mg 2.63-2.74
32 As 0.4780 0.2500 0.7280  6 Mg 2.63-2.74
33 As 0.5000 0.0000 0.0000  6 Mg 2.68
34 As 0.5000 0.5000 0.5000  6 Mg 2.68
35 As 0.5220 0.7500 0.2720  6 Mg 2.63-2.74
36 As 0.7280 0.4780 0.2500  6 Mg 2.63-2.74
37 As 0.7500 0.2720 0.5220  6 Mg 2.63-2.74
38 As 0.7500 0.7720 0.0220  6 Mg 2.63-2.74
39 As 0.7720 0.0220 0.7500  6 Mg 2.63-2.74
40 As 0.9780 0.2500 0.2280  6 Mg 2.63-2.74



(12)
A plane-wave DFT calculation with PBE was carried out for a geometry-optimized MgAs3 structure.

formation enthalpy at 0 K = 0.159 eV/atom
Fermi-level density of states = 3.08 states/eV/cell
total magnetic moment = 0.00 μB/atom
E_tot = -3.7264 eV/atom
SG = No. 65

a b c (Å): 3.9121 5.1878 7.8410
angles (deg): 90.00 90.00 90.00
Last column: nearest neighbours and their distance in Å.
Fractional positions:
1 Mg 0.0000 0.0000 0.0000  4 As 2.77
2 Mg 0.5000 0.5000 0.0000  4 As 2.77
3 As 0.0000 0.0000 0.5000  4 As 2.77
4 As 0.0000 0.5000 0.2498  2 Mg 2.77, 2 As 2.77
5 As 0.0000 0.5000 0.7502  2 Mg 2.77, 2 As 2.77
6 As 0.5000 0.0000 0.2498  2 Mg 2.77, 2 As 2.77
7 As 0.5000 0.0000 0.7502  2 Mg 2.77, 2 As 2.77
8 As 0.5000 0.5000 0.5000  4 As 2.77